Computed, not measured: an optimized crystal structure of AcGePIr at the PBE level of DFT.

Symmetry ... P4/nmm
D(E_F) ... 0.3348 states/eV per atom
Formation energy ... -0.888 eV/atom
M_tot ... 0.00 Bohr magnetons per cell

a = 4.2920 Å, b = 4.2920 Å, c = 9.6967 Å
α = 90.00°, β = 90.00°, γ = 90.00°
With the nearest neighbours (Å) after each atom.
Atoms (fractional coordinates):
Ac  0.0000  0.5000  0.8036  5 P 3.11-3.14, 4 Ge 3.47
Ac  0.5000  0.0000  0.1964  5 P 3.11-3.14, 4 Ge 3.47
Ge  0.0000  0.5000  0.3698  1 P 2.35, 4 Ir 2.49
Ge  0.5000  0.0000  0.6302  1 P 2.35, 4 Ir 2.49
P  0.5000  0.0000  0.8721  1 Ge 2.35
P  0.0000  0.5000  0.1279  1 Ge 2.35
Ir  0.0000  0.0000  0.5000  4 Ge 2.49
Ir  0.5000  0.5000  0.5000  4 Ge 2.49



Computed, not measured: an optimized crystal structure of Ac2Ge3PIr4 at the PBE level of DFT.

Symmetry ... P-4m2
D(E_F) ... 0.3004 states/eV per atom
Formation energy ... -0.788 eV/atom
M_tot ... 0.00 Bohr magnetons per cell

a = 4.3677 Å, b = 4.3677 Å, c = 10.1853 Å
α = 90.00°, β = 90.00°, γ = 90.00°
With the nearest neighbours (Å) after each atom.
Atoms (fractional coordinates):
Ac  0.5000  0.0000  0.2597  6 Ge 3.28-3.36, 2 P 3.28, 9 Ir 3.34-3.62
Ac  0.0000  0.5000  0.7403  6 Ge 3.28-3.36, 2 P 3.28, 9 Ir 3.34-3.62
Ge  0.0000  0.0000  0.5000  4 Ir 2.48
Ge  0.5000  0.0000  0.8693  5 Ir 2.56-2.59
Ge  0.0000  0.5000  0.1307  5 Ir 2.56-2.59
P  0.5000  0.5000  0.5000  4 Ir 2.48
Ir  0.5000  0.5000  0.0000  4 Ge 2.56
Ir  0.0000  0.0000  0.0000  4 Ge 2.56
Ir  0.5000  0.0000  0.6146  3 Ge 2.48-2.59, 2 P 2.48
Ir  0.0000  0.5000  0.3854  3 Ge 2.48-2.59, 2 P 2.48



Computed, not measured: an optimized crystal structure of AcGePIr6 at the PBE level of DFT.

Symmetry ... Imma
D(E_F) ... 1.1073 states/eV per atom
Formation energy ... 0.105 eV/atom
M_tot ... 0.00 Bohr magnetons per cell

a = 7.0983 Å, b = 8.6020 Å, c = 7.9625 Å
α = 122.69°, β = 116.47°, γ = 90.00°
With the nearest neighbours (Å) after each atom.
Atoms (fractional coordinates):
Ac  0.8329  0.5829  0.6657  6 Ir 2.95-3.04
Ac  0.1671  0.4171  0.3343  6 Ir 2.95-3.04
Ge  0.5000  0.0000  0.5000  6 Ir 2.44-2.46
Ge  0.0000  0.0000  0.5000  6 Ir 2.44-2.46
P  0.5000  0.5000  0.0000  6 Ir 2.26-2.31
P  0.5000  0.0000  0.0000  6 Ir 2.26-2.31
Ir  0.4267  0.6767  0.8533  2 P 2.31
Ir  0.8996  0.1496  0.7992  2 Ge 2.46, 4 Ir 2.70
Ir  0.8709  0.1063  0.2507  1 P 2.26, 1 Ge 2.44
Ir  0.3797  0.6444  0.2507  1 P 2.26, 1 Ge 2.44
Ir  0.3797  0.1063  0.2507  1 P 2.26, 1 Ge 2.44
Ir  0.8709  0.6444  0.2507  1 P 2.26, 1 Ge 2.44
Ir  0.5733  0.3233  0.1467  2 P 2.31
Ir  0.1004  0.8504  0.2008  2 Ge 2.46, 4 Ir 2.70
Ir  0.1291  0.8937  0.7493  1 P 2.26, 1 Ge 2.44
Ir  0.6203  0.3556  0.7493  1 P 2.26, 1 Ge 2.44
Ir  0.6203  0.8937  0.7493  1 P 2.26, 1 Ge 2.44
Ir  0.1291  0.3556  0.7493  1 P 2.26, 1 Ge 2.44